HfV2CuO8 | GGA+U | optimized geometry

Calculated values
Volume: 162.2 Å³ per cell
Final energy: -7.658 eV/atom

a = 5.7544 Å, b = 5.7544 Å, c = 5.6563 Å
α = 90.00°, β = 90.00°, γ = 120.00°
Closest atoms and distances in Å follow each position.
Positions (direct):
1 V 0.6667 0.3333 0.3240  4 O 1.62-1.80
2 O 0.1597 0.8403 0.7639  1 V 1.80
3 O 0.6806 0.8403 0.7639  1 V 1.80
4 Cu 0.0000 0.0000 0.5000  6 O 2.18
5 O 0.3333 0.6667 0.3889  1 V 1.62
6 Hf 0.0000 0.0000 0.0000  6 O 2.08
7 O 0.6667 0.3333 0.6111  1 V 1.62
8 O 0.8403 0.1597 0.2361  1 V 1.80
9 O 0.8403 0.6806 0.2361  1 V 1.80
10 O 0.3194 0.1597 0.2361  1 V 1.80
11 O 0.1597 0.3194 0.7639  1 V 1.80
12 V 0.3333 0.6667 0.6760  4 O 1.62-1.80